(1)
# Cs2MnAs2O6

Cs2MnAs2O6 after structural relaxation (PBE+U, Alexandria).

POSCAR file:
```
Cs2MnAs2O6
1.0
-3.6633 -4.6648 1.4728
2.3877 -5.2024 2.1409
-0.8576 -1.1761 6.8215
Cs Mn As O
2 1 2 6
Cartesian
-1.5659 -8.4488 7.3843
-0.5673 -2.5946 3.0508
0.0000 0.0000 0.0000
-1.1583 -5.0735 6.4089
-0.9749 -5.9699 4.0262
-1.1425 -7.6806 4.1677
0.5843 -5.4818 3.4734
-2.2680 -5.2283 3.1585
0.1348 -5.8151 7.2766
-2.7175 -5.5617 6.9617
-0.9907 -3.3628 6.2674
```

Output
**Total energy**: -64.5 eV/cell
**Size of the total moment**: 5.00 μB per formula unit

(2)
# Cs2MnAsO4

Cs2MnAsO4 after structural relaxation (PBE+U, Alexandria).

POSCAR file:
```
Cs2MnAsO4
1.0
5.5694 0.0000 0.0000
2.7847 6.4917 0.0000
2.7847 0.0000 11.2665
Cs Mn As O
4 2 2 8
Cartesian
2.7847 0.0000 7.3164
5.5694 0.0000 3.9500
6.9618 3.2459 9.5833
6.9618 3.2459 1.6832
6.9618 3.2459 5.6332
0.0000 0.0000 0.0000
4.1771 3.2459 5.6332
2.7847 0.0000 0.0000
4.3638 5.4643 0.9082
4.3638 1.0274 10.3583
9.5598 5.4643 10.3583
3.9904 1.0274 0.9082
5.3827 4.2733 4.7251
5.3827 2.2184 6.5414
8.5409 4.2733 6.5414
2.9714 2.2184 4.7251
```

Output
**Total energy**: -88.7 eV/cell
**Size of the total moment**: 4.45 μB per formula unit

So what do the calculations give for density? Going down the list: 4.83; 3.75 g/cm³.